DFT (PBEsol) results for a geometry-optimized KSr2Tl2 structure.

Results
- density (Mg/m³) = 5.65
- energy (eV for the cell shown) = -22.882
- ΔH_f (0 K) (meV/atom) = -273.3

Cell lengths 9.553, 9.553, 4.014 Å; angles 90.00, 90.00, 90.00 degrees
Fractional coordinates of all 10 atoms:
K  0.000  0.000  0.000
K  0.500  0.500  0.000
Sr  0.170  0.330  0.500
Sr  0.330  0.830  0.500
Sr  0.670  0.170  0.500
Sr  0.830  0.670  0.500
Tl  0.124  0.624  0.000
Tl  0.376  0.124  0.000
Tl  0.624  0.876  0.000
Tl  0.876  0.376  0.000